# 1
First-principles (PBE) data for a relaxed RbPa2Se4 crystal, as listed in Alexandria via LeMat-Bulk.

Geometry as CIF:
```
data_RbPa2Se4
_symmetry_space_group_name_H-M 'C m c m'
_symmetry_Int_Tables_number 63
_symmetry_space_group_name_Hall '-C 2c 2'
_cell_length_a 4.209
_cell_length_b 13.898
_cell_length_c 14.480
_cell_angle_alpha 90.00
_cell_angle_beta 90.00
_cell_angle_gamma 90.00
loop_
_atom_site_label
_atom_site_type_symbol
_atom_site_fract_x
_atom_site_fract_y
_atom_site_fract_z
Rb1 Rb 0.000 0.108 0.250
Pa1 Pa 0.000 0.370 0.062
Se1 Se 0.000 0.000 0.000
Se2 Se 0.000 0.263 0.608
Se3 Se 0.000 0.419 0.250
```

Results
E_form (uncorrected)   -1329 meV/atom
Theoretical density   6.771 Mg/m³
Distance to the lowest polymorph of the same formula   0 meV/atom

# 2
First-principles (PBE) data for a relaxed Rb2PaSe5 crystal, as listed in Alexandria via LeMat-Bulk.

Geometry as CIF:
```
data_Rb2PaSe5
_symmetry_space_group_name_H-M 'P 4/m m m'
_symmetry_Int_Tables_number 123
_symmetry_space_group_name_Hall '-P 4 2'
_cell_length_a 6.874
_cell_length_b 6.874
_cell_length_c 5.648
_cell_angle_alpha 90.00
_cell_angle_beta 90.00
_cell_angle_gamma 90.00
loop_
_atom_site_label
_atom_site_type_symbol
_atom_site_fract_x
_atom_site_fract_y
_atom_site_fract_z
Rb1 Rb 0.000 0.500 0.000
Pa1 Pa 0.000 0.000 0.500
Se1 Se 0.000 0.000 0.000
Se2 Se 0.281 0.281 0.500
```

Results
E_form (uncorrected)   -928 meV/atom
Theoretical density   4.957 Mg/m³

# 3
First-principles (PBE) data for a relaxed Rb2PaSe3 crystal, as listed in Alexandria via LeMat-Bulk.

Geometry as CIF:
```
data_Rb2PaSe3
_symmetry_space_group_name_H-M 'F d d d'
_symmetry_Int_Tables_number 70
_cell_length_a 9.543
_cell_length_b 12.993
_cell_length_c 26.608
_cell_angle_alpha 90.00
_cell_angle_beta 90.00
_cell_angle_gamma 90.00
loop_
_symmetry_equiv_pos_as_xyz
'x,y,z'
'-x,-y,-z'
'-x+1/4,-y+1/4,z'
'x+1/4,y+1/4,-z'
'x,-y+1/4,-z+1/4'
'-x,y+1/4,z+1/4'
'-x+1/4,y,-z+1/4'
'x+1/4,-y,z+1/4'
'x,y+1/2,z+1/2'
'-x,-y+1/2,-z+1/2'
'-x+1/4,-y+3/4,z+1/2'
'x+1/4,y+3/4,-z+1/2'
'x,-y+3/4,-z+3/4'
'-x,y+3/4,z+3/4'
'-x+1/4,y+1/2,-z+3/4'
'x+1/4,-y+1/2,z+3/4'
'x+1/2,y,z+1/2'
'-x+1/2,-y,-z+1/2'
'-x+3/4,-y+1/4,z+1/2'
'x+3/4,y+1/4,-z+1/2'
'x+1/2,-y+1/4,-z+3/4'
'-x+1/2,y+1/4,z+3/4'
'-x+3/4,y,-z+3/4'
'x+3/4,-y,z+3/4'
'x+1/2,y+1/2,z'
'-x+1/2,-y+1/2,-z'
'-x+3/4,-y+3/4,z'
'x+3/4,y+3/4,-z'
'x+1/2,-y+3/4,-z+1/4'
'-x+1/2,y+3/4,z+1/4'
'-x+3/4,y+1/2,-z+1/4'
'x+3/4,-y+1/2,z+1/4'
loop_
_atom_site_label
_atom_site_type_symbol
_atom_site_fract_x
_atom_site_fract_y
_atom_site_fract_z
Rb1 Rb 0.125 0.125 0.049
Rb2 Rb 0.125 0.125 0.369
Pa1 Pa 0.125 0.125 0.540
Se1 Se 0.068 0.375 0.875
Se2 Se 0.103 0.350 0.719
```

Results
E_form (uncorrected)   -1357 meV/atom
Theoretical density   5.145 Mg/m³

# 4
First-principles (PBE) data for a relaxed RbPa2Se3 crystal, as listed in Alexandria via LeMat-Bulk.

Geometry as CIF:
```
data_RbPa2Se3
_symmetry_space_group_name_H-M 'C m c m'
_symmetry_Int_Tables_number 63
_symmetry_space_group_name_Hall '-C 2c 2'
_cell_length_a 12.828
_cell_length_b 7.404
_cell_length_c 7.790
_cell_angle_alpha 90.00
_cell_angle_beta 90.00
_cell_angle_gamma 90.00
loop_
_atom_site_label
_atom_site_type_symbol
_atom_site_fract_x
_atom_site_fract_y
_atom_site_fract_z
Rb1 Rb 0.000 0.001 0.250
Pa1 Pa 0.167 0.500 0.000
Se1 Se 0.000 0.499 0.250
Se2 Se 0.250 0.250 0.250
```

Results
E_form (uncorrected)   -1080 meV/atom
Theoretical density   7.043 Mg/m³

# 5
First-principles (PBE) data for a relaxed RbSmPaSe4 crystal, as listed in Alexandria via LeMat-Bulk.

Geometry as CIF:
```
data_RbSmPaSe4
_symmetry_space_group_name_H-M 'I m m a'
_symmetry_Int_Tables_number 74
_symmetry_space_group_name_Hall '-I 2b 2'
_cell_length_a 8.923
_cell_length_b 9.039
_cell_length_c 12.545
_cell_angle_alpha 90.00
_cell_angle_beta 90.00
_cell_angle_gamma 90.00
loop_
_atom_site_label
_atom_site_type_symbol
_atom_site_fract_x
_atom_site_fract_y
_atom_site_fract_z
Rb1 Rb 0.000 0.250 0.126
Sm1 Sm 0.000 0.000 0.500
Pa1 Pa 0.250 0.250 0.750
Se1 Se 0.000 0.046 0.735
Se2 Se 0.213 0.250 0.523
```

Results
E_form (uncorrected)   -1499 meV/atom
Theoretical density   5.138 Mg/m³

# 6
First-principles (PBE) data for a relaxed Rb3Sm2PaSe6 crystal, as listed in Alexandria via LeMat-Bulk.

Geometry as CIF:
```
data_Rb3Sm2PaSe6
_symmetry_space_group_name_H-M 'C 1 2/m 1'
_symmetry_Int_Tables_number 12
_symmetry_space_group_name_Hall '-C 2y'
_cell_length_a 7.433
_cell_length_b 12.871
_cell_length_c 8.420
_cell_angle_alpha 90.00
_cell_angle_beta 107.12
_cell_angle_gamma 90.00
loop_
_atom_site_label
_atom_site_type_symbol
_atom_site_fract_x
_atom_site_fract_y
_atom_site_fract_z
Rb1 Rb 0.000 0.000 0.000
Rb2 Rb 0.000 0.331 0.000
Sm1 Sm 0.000 0.166 0.500
Pa1 Pa 0.000 0.500 0.500
Se1 Se 0.230 0.337 0.700
Se2 Se 0.240 0.000 0.701
```

Results
E_form (uncorrected)   -1575 meV/atom
Theoretical density   5.444 Mg/m³

# 7
First-principles (PBE) data for a relaxed Rb2SmPaSe4 crystal, as listed in Alexandria via LeMat-Bulk.

Geometry as CIF:
```
data_Rb2SmPaSe4
_symmetry_space_group_name_H-M 'P 1 2/m 1'
_symmetry_Int_Tables_number 10
_symmetry_space_group_name_Hall '-P 2y'
_cell_length_a 7.408
_cell_length_b 4.252
_cell_length_c 8.444
_cell_angle_alpha 90.00
_cell_angle_beta 106.79
_cell_angle_gamma 90.00
loop_
_atom_site_label
_atom_site_type_symbol
_atom_site_fract_x
_atom_site_fract_y
_atom_site_fract_z
Rb1 Rb 0.000 0.000 0.000
Rb2 Rb 0.500 0.500 0.000
Sm1 Sm 0.000 0.500 0.500
Pa1 Pa 0.500 0.000 0.500
Se1 Se 0.239 0.000 0.701
Se2 Se 0.270 0.500 0.299
```

Results
E_form (uncorrected)   -1499 meV/atom
Theoretical density   5.661 Mg/m³

# 8
First-principles (PBE) data for a relaxed Rb3PaSn2Se6 crystal, as listed in Alexandria via LeMat-Bulk.

Geometry as CIF:
```
data_Rb3PaSn2Se6
_symmetry_space_group_name_H-M 'C 1 2/m 1'
_symmetry_Int_Tables_number 12
_symmetry_space_group_name_Hall '-C 2y'
_cell_length_a 7.630
_cell_length_b 13.202
_cell_length_c 8.233
_cell_angle_alpha 90.00
_cell_angle_beta 107.96
_cell_angle_gamma 90.00
loop_
_atom_site_label
_atom_site_type_symbol
_atom_site_fract_x
_atom_site_fract_y
_atom_site_fract_z
Rb1 Rb 0.000 0.000 0.000
Rb2 Rb 0.000 0.326 0.000
Pa1 Pa 0.000 0.500 0.500
Sn1 Sn 0.000 0.166 0.500
Se1 Se 0.220 0.345 0.695
Se2 Se 0.243 0.500 0.303
```

Results
E_form (uncorrected)   -1094 meV/atom
Theoretical density   5.045 Mg/m³

# 9
First-principles (PBE) data for a relaxed Rb2PaTe2Se2 crystal, as listed in Alexandria via LeMat-Bulk.

Geometry as CIF:
```
data_Rb2PaTe2Se2
_symmetry_space_group_name_H-M 'C 1 2/m 1'
_symmetry_Int_Tables_number 12
_symmetry_space_group_name_Hall '-C 2y'
_cell_length_a 17.400
_cell_length_b 4.824
_cell_length_c 7.064
_cell_angle_alpha 90.00
_cell_angle_beta 111.87
_cell_angle_gamma 90.00
loop_
_atom_site_label
_atom_site_type_symbol
_atom_site_fract_x
_atom_site_fract_y
_atom_site_fract_z
Rb1 Rb 0.182 0.000 0.187
Pa1 Pa 0.000 0.000 0.500
Te1 Te 0.018 0.500 0.242
Se1 Se 0.163 0.000 0.679
```

Results
E_form (uncorrected)   -1015 meV/atom
Theoretical density   4.919 Mg/m³

# 10
First-principles (PBE) data for a relaxed Rb3Pa3TeSe8 crystal, as listed in Alexandria via LeMat-Bulk.

Geometry as CIF:
```
data_Rb3Pa3TeSe8
_symmetry_space_group_name_H-M 'C 1 2/m 1'
_symmetry_Int_Tables_number 12
_symmetry_space_group_name_Hall '-C 2y'
_cell_length_a 14.261
_cell_length_b 9.099
_cell_length_c 9.031
_cell_angle_alpha 90.00
_cell_angle_beta 119.35
_cell_angle_gamma 90.00
loop_
_atom_site_label
_atom_site_type_symbol
_atom_site_fract_x
_atom_site_fract_y
_atom_site_fract_z
Rb1 Rb 0.000 0.000 0.000
Rb2 Rb 0.250 0.250 0.000
Pa1 Pa 0.000 0.500 0.500
Pa2 Pa 0.250 0.250 0.500
Te1 Te 0.000 0.000 0.500
Se1 Se 0.033 0.305 0.283
Se2 Se 0.229 0.000 0.683
Se3 Se 0.234 0.500 0.699
```

Results
E_form (uncorrected)   -1100 meV/atom
Theoretical density   5.555 Mg/m³

# 11
First-principles (PBE) data for a relaxed Rb4Th3PaSe8 crystal, as listed in Alexandria via LeMat-Bulk.

Geometry as CIF:
```
data_Rb4Th3PaSe8
_symmetry_space_group_name_H-M 'R -3 m'
_symmetry_Int_Tables_number 166
_symmetry_space_group_name_Hall '-R 3 2"'
_cell_length_a 8.4841
_cell_length_b 8.4841
_cell_length_c 24.6034
_cell_angle_alpha 90.00
_cell_angle_beta 90.00
_cell_angle_gamma 120.00
loop_
_atom_site_label
_atom_site_type_symbol
_atom_site_fract_x
_atom_site_fract_y
_atom_site_fract_z
Rb1 Rb 0.0000 0.0000 0.0000
Rb2 Rb 0.0000 0.5000 0.0000
Th1 Th 0.0000 0.5000 0.5000
Pa1 Pa 0.0000 0.0000 0.5000
Se1 Se 0.0000 0.0000 0.2360
Se2 Se 0.0054 0.5027 0.2353
```

Results
E_form (uncorrected)   -1460 meV/atom
Theoretical density   6.174 Mg/m³

# 12
First-principles (PBE) data for a relaxed Rb3Pa3TiSe8 crystal, as listed in Alexandria via LeMat-Bulk.

Geometry as CIF:
```
data_Rb3Pa3TiSe8
_symmetry_space_group_name_H-M 'R -3 m'
_symmetry_Int_Tables_number 166
_symmetry_space_group_name_Hall '-R 3 2"'
_cell_length_a 8.1497
_cell_length_b 8.1497
_cell_length_c 24.9903
_cell_angle_alpha 90.00
_cell_angle_beta 90.00
_cell_angle_gamma 120.00
loop_
_atom_site_label
_atom_site_type_symbol
_atom_site_fract_x
_atom_site_fract_y
_atom_site_fract_z
Rb1 Rb 0.0000 0.5000 0.0000
Pa1 Pa 0.0000 0.5000 0.5000
Ti1 Ti 0.0000 0.0000 0.5000
Se1 Se 0.0000 0.0000 0.2350
Se2 Se 0.0147 0.5074 0.2298
```

Results
E_form (uncorrected)   -1304 meV/atom
Theoretical density   5.646 Mg/m³

# 13
First-principles (PBE) data for a relaxed Rb2Pa2TiSe6 crystal, as listed in Alexandria via LeMat-Bulk.

Geometry as CIF:
```
data_Rb2Pa2TiSe6
_symmetry_space_group_name_H-M 'C 1 2/m 1'
_symmetry_Int_Tables_number 12
_symmetry_space_group_name_Hall '-C 2y'
_cell_length_a 6.988
_cell_length_b 11.975
_cell_length_c 8.665
_cell_angle_alpha 90.00
_cell_angle_beta 105.83
_cell_angle_gamma 90.00
loop_
_atom_site_label
_atom_site_type_symbol
_atom_site_fract_x
_atom_site_fract_y
_atom_site_fract_z
Rb1 Rb 0.000 0.170 0.000
Pa1 Pa 0.000 0.334 0.500
Ti1 Ti 0.000 0.000 0.500
Se1 Se 0.226 0.159 0.692
Se2 Se 0.248 0.500 0.692
```

Results
E_form (uncorrected)   -1323 meV/atom
Theoretical density   5.497 Mg/m³

# 14
First-principles (PBE) data for a relaxed Rb3PaTl2Se6 crystal, as listed in Alexandria via LeMat-Bulk.

Geometry as CIF:
```
data_Rb3PaTl2Se6
_symmetry_space_group_name_H-M 'C 1 2/m 1'
_symmetry_Int_Tables_number 12
_symmetry_space_group_name_Hall '-C 2y'
_cell_length_a 7.618
_cell_length_b 13.215
_cell_length_c 8.341
_cell_angle_alpha 90.00
_cell_angle_beta 107.58
_cell_angle_gamma 90.00
loop_
_atom_site_label
_atom_site_type_symbol
_atom_site_fract_x
_atom_site_fract_y
_atom_site_fract_z
Rb1 Rb 0.000 0.000 0.000
Rb2 Rb 0.000 0.323 0.000
Pa1 Pa 0.000 0.500 0.500
Tl1 Tl 0.000 0.164 0.500
Se1 Se 0.219 0.348 0.700
Se2 Se 0.232 0.500 0.295
```

Results
E_form (uncorrected)   -972 meV/atom
Theoretical density   5.684 Mg/m³

# 15
First-principles (PBE) data for a relaxed Rb3Pa2TlSe6 crystal, as listed in Alexandria via LeMat-Bulk.

Geometry as CIF:
```
data_Rb3Pa2TlSe6
_symmetry_space_group_name_H-M 'C 1 2/m 1'
_symmetry_Int_Tables_number 12
_symmetry_space_group_name_Hall '-C 2y'
_cell_length_a 20.191
_cell_length_b 4.315
_cell_length_c 9.663
_cell_angle_alpha 90.00
_cell_angle_beta 106.08
_cell_angle_gamma 90.00
loop_
_atom_site_label
_atom_site_type_symbol
_atom_site_fract_x
_atom_site_fract_y
_atom_site_fract_z
Rb1 Rb 0.000 0.000 0.000
Rb2 Rb 0.153 0.500 0.342
Pa1 Pa 0.170 0.500 0.840
Tl1 Tl 0.000 0.000 0.500
Se1 Se 0.030 0.500 0.761
Se2 Se 0.174 0.000 0.643
Se3 Se 0.179 0.000 0.052
```

Results
E_form (uncorrected)   -1248 meV/atom
Theoretical density   5.733 Mg/m³

# 16
First-principles (PBE) data for a relaxed RbPaTl2Se4 crystal, as listed in Alexandria via LeMat-Bulk.

Geometry as CIF:
```
data_RbPaTl2Se4
_symmetry_space_group_name_H-M 'P 1 2/m 1'
_symmetry_Int_Tables_number 10
_symmetry_space_group_name_Hall '-P 2y'
_cell_length_a 8.002
_cell_length_b 4.371
_cell_length_c 8.160
_cell_angle_alpha 90.00
_cell_angle_beta 109.39
_cell_angle_gamma 90.00
loop_
_atom_site_label
_atom_site_type_symbol
_atom_site_fract_x
_atom_site_fract_y
_atom_site_fract_z
Rb1 Rb 0.000 0.000 0.000
Pa1 Pa 0.000 0.500 0.500
Tl1 Tl 0.500 0.000 0.500
Tl2 Tl 0.500 0.500 0.000
Se1 Se 0.209 0.000 0.700
Se2 Se 0.212 0.500 0.304
```

Results
E_form (uncorrected)   -987 meV/atom
Theoretical density   6.422 Mg/m³

# 17
First-principles (PBE) data for a relaxed RbPa2Tl3Se6 crystal, as listed in Alexandria via LeMat-Bulk.

Geometry as CIF:
```
data_RbPa2Tl3Se6
_symmetry_space_group_name_H-M 'C 1 2/m 1'
_symmetry_Int_Tables_number 12
_symmetry_space_group_name_Hall '-C 2y'
_cell_length_a 20.198
_cell_length_b 4.272
_cell_length_c 9.385
_cell_angle_alpha 90.00
_cell_angle_beta 103.77
_cell_angle_gamma 90.00
loop_
_atom_site_label
_atom_site_type_symbol
_atom_site_fract_x
_atom_site_fract_y
_atom_site_fract_z
Rb1 Rb 0.000 0.000 0.000
Pa1 Pa 0.174 0.500 0.340
Tl1 Tl 0.000 0.000 0.500
Tl2 Tl 0.162 0.500 0.828
Se1 Se 0.037 0.500 0.280
Se2 Se 0.177 0.000 0.557
Se3 Se 0.182 0.000 0.137
```

Results
E_form (uncorrected)   -1005 meV/atom
Theoretical density   6.901 Mg/m³

# 18
First-principles (PBE) data for a relaxed Rb4Tm3PaSe8 crystal, as listed in Alexandria via LeMat-Bulk.

Geometry as CIF:
```
data_Rb4Tm3PaSe8
_symmetry_space_group_name_H-M 'R -3 m'
_symmetry_Int_Tables_number 166
_symmetry_space_group_name_Hall '-R 3 2"'
_cell_length_a 8.4174
_cell_length_b 8.4174
_cell_length_c 24.0430
_cell_angle_alpha 90.00
_cell_angle_beta 90.00
_cell_angle_gamma 120.00
loop_
_atom_site_label
_atom_site_type_symbol
_atom_site_fract_x
_atom_site_fract_y
_atom_site_fract_z
Rb1 Rb 0.0000 0.0000 0.0000
Rb2 Rb 0.0000 0.5000 0.0000
Tm1 Tm 0.0000 0.5000 0.5000
Pa1 Pa 0.0000 0.0000 0.5000
Se1 Se 0.0000 0.0000 0.2310
Se2 Se 0.0042 0.5021 0.7680
```

Results
E_form (uncorrected)   -1593 meV/atom
Theoretical density   5.779 Mg/m³

# 19
First-principles (PBE) data for a relaxed RbTmPaSe4 crystal, as listed in Alexandria via LeMat-Bulk.

Geometry as CIF:
```
data_RbTmPaSe4
_symmetry_space_group_name_H-M 'I m m a'
_symmetry_Int_Tables_number 74
_symmetry_space_group_name_Hall '-I 2b 2'
_cell_length_a 8.764
_cell_length_b 9.031
_cell_length_c 12.302
_cell_angle_alpha 90.00
_cell_angle_beta 90.00
_cell_angle_gamma 90.00
loop_
_atom_site_label
_atom_site_type_symbol
_atom_site_fract_x
_atom_site_fract_y
_atom_site_fract_z
Rb1 Rb 0.000 0.250 0.134
Tm1 Tm 0.250 0.250 0.750
Pa1 Pa 0.000 0.000 0.500
Se1 Se 0.000 0.046 0.731
Se2 Se 0.208 0.250 0.517
```

Results
E_form (uncorrected)   -1475 meV/atom
Theoretical density   5.467 Mg/m³

# 20
First-principles (PBE) data for a relaxed Rb3Tm3PaSe8 crystal, as listed in Alexandria via LeMat-Bulk.

Geometry as CIF:
```
data_Rb3Tm3PaSe8
_symmetry_space_group_name_H-M 'C 1 2/m 1'
_symmetry_Int_Tables_number 12
_symmetry_space_group_name_Hall '-C 2y'
_cell_length_a 14.439
_cell_length_b 8.341
_cell_length_c 9.453
_cell_angle_alpha 90.00
_cell_angle_beta 120.59
_cell_angle_gamma 90.00
loop_
_atom_site_label
_atom_site_type_symbol
_atom_site_fract_x
_atom_site_fract_y
_atom_site_fract_z
Rb1 Rb 0.000 0.000 0.000
Rb2 Rb 0.250 0.250 0.000
Tm1 Tm 0.000 0.500 0.500
Tm2 Tm 0.250 0.250 0.500
Pa1 Pa 0.000 0.000 0.500
Se1 Se 0.020 0.252 0.308
Se2 Se 0.230 0.500 0.691
Se3 Se 0.232 0.000 0.691
```

Results
E_form (uncorrected)   -1668 meV/atom
Theoretical density   5.510 Mg/m³